Record 1
{"formula": "PrNbRu2", "functional": "PBE", "state": "relaxed", "lattice": [[3.2329, 0.0000, 0.0000], [0.0000, 3.2329, 0.0000], [0.0000, 0.0000, 7.2578]], "species": ["Pr", "Nb", "Ru", "Ru"], "frac_coords": [[0.0000, 0.0000, 0.0000], [0.0000, 0.0000, 0.5000], [0.5000, 0.5000, 0.2951], [0.5000, 0.5000, 0.7049]], "m_tot_mub_per_fu": 0.00, "e_form_ev_per_atom": -0.15, "mass_density_g_cm3": 9.54}

---

Record 2
{"formula": "Sr2RhI", "functional": "PBE", "state": "relaxed", "lattice": [[4.4229, 0.0000, 0.0000], [-2.2114, 3.8303, 0.0000], [0.0000, 0.0000, 24.1880]], "species": ["Sr", "Sr", "Sr", "Sr", "Sr", "Sr", "Rh", "Rh", "Rh", "I", "I", "I"], "frac_coords": [[0.0000, 0.0000, 0.2320], [0.0000, 0.0000, 0.7680], [0.3333, 0.6667, 0.4347], [0.3333, 0.6667, 0.8986], [0.6667, 0.3333, 0.1014], [0.6667, 0.3333, 0.5653], [0.0000, 0.0000, 0.5000], [0.3333, 0.6667, 0.1667], [0.6667, 0.3333, 0.8333], [0.0000, 0.0000, 0.0000], [0.3333, 0.6667, 0.6667], [0.6667, 0.3333, 0.3333]], "m_tot_mub_per_fu": 0.00, "e_form_raw_ev_per_atom": -0.7324, "mass_density_g_cm3": 4.92}

---

Number 1: final energy -8.502 eV per atom, DOS at the Fermi energy 3.08 states/eV per cell, calculated volume 75.9 Å³ per cell. Number 2: final energy -3.799 eV per atom, DOS at the Fermi energy 5.97 states/eV per cell, calculated volume 409.8 Å³ per cell.